Entry 1:
RbCd | PBE | relaxed

Values from the calculation:
As for the electronic total energy: -0.60 eV/atom. The space group is No. 216.

```
2
Lattice="0.000 4.059 4.059 4.059 0.000 4.059 4.059 4.059 0.000" Properties=species:S:1:pos:R:3 pbc="T T T"
Cd 0.000 0.000 0.000
Rb 2.030 2.030 2.030
```

=====

Entry 2:
ErMgTa | PBE | relaxed

Values from the calculation:
As for the electronic total energy: -4.58 eV/atom. The space group is No. 216. The magnetization is 0.547 μB/atom.

```
3
Lattice="0.000 3.454 3.454 3.454 0.000 3.454 3.454 3.454 0.000" Properties=species:S:1:pos:R:3 pbc="T T T"
Er 0.000 0.000 0.000
Mg 1.727 1.727 1.727
Ta 5.181 5.181 5.181
```

=====

Entry 3:
HfAlCdCo | PBE | relaxed

Values from the calculation:
As for the electronic total energy: -5.52 eV/atom. The space group is No. 216. The magnetization is 0.001 μB/atom.

```
4
Lattice="3.053 -0.568 3.284 -0.492 2.158 3.941 -1.092 -2.317 3.724" Properties=species:S:1:pos:R:3 pbc="T T T"
Al 0.000 0.000 0.000
Cd 0.367 -0.182 2.737
Co 1.102 -0.545 8.212
Hf 0.734 -0.363 5.474
```

=====

Entry 4:
ScTlAgTe3 | PBE | relaxed

Values from the calculation:
As for the electronic total energy: -4.09 eV/atom. The space group is No. 63. The magnetization is 0.000 μB/atom.

```
12
Lattice="-2.496 5.013 -5.663 0.932 -1.832 7.694 9.951 4.914 -0.035" Properties=species:S:1:pos:R:3 pbc="T T T"
Ag 1.562 3.107 0.445
Ag 6.826 4.988 1.551
Sc 0.000 0.000 0.000
Sc 4.976 2.457 -0.018
Te -0.878 2.695 -0.787
Te 0.271 5.685 -4.585
Te 3.365 4.790 -0.802
Te 5.022 3.305 2.798
Te 8.117 2.410 6.582
Te 9.265 5.401 2.783
Tl 2.618 0.997 4.563
Tl 5.769 7.099 -2.567
```

=====

Entry 5:
NaFeTe | PBE | relaxed

Values from the calculation:
As for the electronic total energy: -4.18 eV/atom. The space group is No. 216. The magnetization is 1.000 μB/atom.

```
3
Lattice="0.000 3.226 3.226 3.226 0.000 3.226 3.226 3.226 0.000" Properties=species:S:1:pos:R:3 pbc="T T T"
Fe 0.000 0.000 0.000
Na 1.613 1.613 1.613
Te 4.839 4.839 4.839
```

=====

Entry 6:
SrGa5NiPd | PBE | relaxed

Values from the calculation:
As for the electronic total energy: -3.94 eV/atom. The space group is No. 44. The magnetization is 0.001 μB/atom.

```
8
Lattice="3.040 -4.401 -3.693 5.904 0.077 2.718 -6.216 -1.575 1.061" Properties=species:S:1:pos:R:3 pbc="T T T"
Ga 2.505 -2.592 -0.820
Ga 5.215 -4.032 -1.167
Ga 4.268 -2.888 1.407
Ga 0.277 -3.203 0.953
Ga -2.543 -1.970 1.208
Ni 2.208 -1.892 1.632
Pd 0.541 -4.017 -1.548
Sr 0.028 -0.014 -0.003
```

=====

Entry 7:
Li2TcO3 | PBE | relaxed

Values from the calculation:
As for the electronic total energy: -6.53 eV/atom. The space group is No. 12. The magnetization is 0.500 μB/atom.

```
12
Lattice="-2.579 -4.456 -0.003 -2.579 4.456 -0.003 1.745 0.000 -4.783" Properties=species:S:1:pos:R:3 pbc="T T T"
Li -2.579 0.000 -0.003
Li 0.873 0.000 -2.392
Li -1.707 -1.425 -2.395
Li -1.707 1.425 -2.395
O -3.469 -1.542 -1.142
O -3.469 1.542 -1.142
O -0.791 0.000 -1.154
O -2.622 0.000 -3.635
O 0.056 -1.542 -3.647
O 0.056 1.542 -3.647
Tc -2.579 -2.967 -0.003
Tc -2.579 2.967 -0.003
```

=====

Entry 8:
Re2BiS6 | PBE | relaxed

Values from the calculation:
As for the electronic total energy: -6.23 eV/atom. The space group is No. 15. The magnetization is 0.079 μB/atom.

```
18
Lattice="-5.011 -1.312 2.685 3.034 -1.566 4.897 -2.704 8.446 5.418" Properties=species:S:1:pos:R:3 pbc="T T T"
Bi -0.274 -0.662 1.777
Bi -1.704 -2.217 5.805
Re 0.580 2.115 5.346
Re -3.395 2.255 4.215
Re -1.287 3.313 8.786
Re -5.262 3.453 7.655
S -3.708 -0.028 3.468
S 1.021 0.030 4.195
S -1.873 2.299 2.406
S -1.590 1.193 5.516
S -4.880 1.850 6.005
S -2.152 1.384 7.806
S -2.529 4.184 5.194
S 0.198 3.718 6.995
S -3.092 4.375 7.485
S -2.809 3.269 10.595
S -5.703 5.538 8.805
S -0.973 5.596 9.532
```